Record 1
Compound: Ac4GaSn2
Source: Alexandria via LeMat-Bulk
Functional: PBE
Structure: optimized geometry

Structure (CIF):
```
data_Ac4GaSn2
_chemical_formula_sum 'Ac8 Ga2 Sn4'
_cell_length_a 14.765
_cell_length_b 5.405
_cell_length_c 7.154
_cell_angle_alpha 90.00
_cell_angle_beta 111.42
_cell_angle_gamma 90.00
_space_group_name_H-M_alt 'C 1 2/m 1'
_space_group_IT_number 12
loop_
_space_group_symop_operation_xyz
'x,y,z'
'-x,-y,-z'
'-x,y,-z'
'x,-y,z'
'x+1/2,y+1/2,z'
'-x+1/2,-y+1/2,-z'
'-x+1/2,y+1/2,-z'
'x+1/2,-y+1/2,z'
loop_
_atom_site_label
_atom_site_fract_x
_atom_site_fract_y
_atom_site_fract_z
Ac1 0.081 0.000 0.288
Ac2 0.151 0.500 0.761
Ga1 0.000 0.500 0.000
Sn1 0.218 0.500 0.271
```

Values from the calculation:
Magnetic moment (μB per formula unit): 0.01
Final energy (eV/atom): -4.322
Crystal system: monoclinic
ΔH_f (0 K) (eV per atom): -0.398

***

Record 2
Compound: Ac6GaSn5
Source: Alexandria via LeMat-Bulk
Functional: PBE
Structure: optimized geometry

Structure (CIF):
```
data_Ac6GaSn5
_chemical_formula_sum 'Ac12 Ga2 Sn10'
_cell_length_a 10.588
_cell_length_b 16.249
_cell_length_c 5.429
_cell_angle_alpha 90.00
_cell_angle_beta 120.80
_cell_angle_gamma 90.00
_space_group_name_H-M_alt 'C 1 2/m 1'
_space_group_IT_number 12
loop_
_space_group_symop_operation_xyz
'x,y,z'
'-x,-y,-z'
'-x,y,-z'
'x,-y,z'
'x+1/2,y+1/2,z'
'-x+1/2,-y+1/2,-z'
'-x+1/2,y+1/2,-z'
'x+1/2,-y+1/2,z'
loop_
_atom_site_label
_atom_site_fract_x
_atom_site_fract_y
_atom_site_fract_z
Ac1 0.241 0.000 0.242
Ac2 0.245 0.166 0.745
Ga1 0.000 0.000 0.500
Sn1 0.000 0.168 0.000
Sn2 0.000 0.338 0.500
Sn3 0.000 0.500 0.000
```

Values from the calculation:
Magnetic moment (μB per formula unit): 0.00
Final energy (eV/atom): -4.554
Crystal system: monoclinic
ΔH_f (0 K) (eV per atom): -0.580

***

Record 3
Compound: AcGa12Sn6
Source: Alexandria via LeMat-Bulk
Functional: PBE
Structure: optimized geometry

Structure (CIF):
```
data_AcGa12Sn6
_chemical_formula_sum 'Ac3 Ga36 Sn18'
_cell_length_a 12.9246
_cell_length_b 12.9246
_cell_length_c 9.5554
_cell_angle_alpha 90.00
_cell_angle_beta 90.00
_cell_angle_gamma 120.00
_space_group_name_H-M_alt 'R -3 m'
_space_group_IT_number 166
_space_group_name_Hall '-R 3 2"'
loop_
_atom_site_label
_atom_site_fract_x
_atom_site_fract_y
_atom_site_fract_z
Ac1 0.0000 0.0000 0.0000
Ga1 0.0000 0.3990 0.5000
Ga2 0.0756 0.1512 0.2998
Sn1 0.0395 0.5197 0.2204
```

Values from the calculation:
Magnetic moment (μB per formula unit): 0.00
Final energy (eV/atom): -3.379
Crystal system: trigonal
ΔH_f (0 K) (eV per atom): 0.013

***

Record 4
Compound: Ac12Ga2Sn5
Source: Alexandria via LeMat-Bulk
Functional: PBE
Structure: optimized geometry

Structure (CIF):
```
data_Ac12Ga2Sn5
_chemical_formula_sum 'Ac24 Ga4 Sn10'
_cell_length_a 19.314
_cell_length_b 8.034
_cell_length_c 10.545
_cell_angle_alpha 90.00
_cell_angle_beta 104.89
_cell_angle_gamma 90.00
_space_group_name_H-M_alt 'C 1 2/m 1'
_space_group_IT_number 12
loop_
_space_group_symop_operation_xyz
'x,y,z'
'-x,-y,-z'
'-x,y,-z'
'x,-y,z'
'x+1/2,y+1/2,z'
'-x+1/2,-y+1/2,-z'
'-x+1/2,y+1/2,-z'
'x+1/2,-y+1/2,z'
loop_
_atom_site_label
_atom_site_fract_x
_atom_site_fract_y
_atom_site_fract_z
Ac1 0.004 0.000 0.281
Ac2 0.010 0.500 0.823
Ac3 0.151 0.258 0.573
Ac4 0.166 0.242 0.091
Ga1 0.000 0.162 0.000
Sn1 0.000 0.500 0.500
Sn2 0.183 0.000 0.833
Sn3 0.198 0.000 0.362
```

Values from the calculation:
Magnetic moment (μB per formula unit): 0.43
Final energy (eV/atom): -4.330
Crystal system: monoclinic
ΔH_f (0 K) (eV per atom): -0.363

***

Question: The highest ΔH_f (0 K) belongs to which entry?
Answer: AcGa12Sn6

***

Question: What is the formula in the third record?
Answer: AcGa12Sn6

***

Question: Number 2 is which compound?
Answer: Ac6GaSn5

***

Question: The lowest ΔH_f (0 K) belongs to which entry?
Answer: Ac6GaSn5